{"formula": "LiZn2Pt2", "functional": "GGA-PBE", "state": "relaxed", "energy_ev_per_atom": -3.87, "formation_enthalpy_0k_mev_per_atom": -566, "m_tot_mub_per_fu": 0.0, "de_polymorph_mev_per_atom": 0, "dos_ef_per_ev_cell": 2.5, "lattice_angstrom": [[7.4185, 0.0000, 0.0000], [0.0000, 7.4185, 0.0000], [0.0000, 0.0000, 2.8426]], "species": ["Li", "Li", "Zn", "Zn", "Zn", "Zn", "Pt", "Pt", "Pt", "Pt"], "frac_coords": [[0.0000, 0.0000, 0.0000], [0.5000, 0.5000, 0.0000], [0.1336, 0.3664, 0.0000], [0.3664, 0.8664, 0.0000], [0.6336, 0.1336, 0.0000], [0.8664, 0.6336, 0.0000], [0.1643, 0.6643, 0.5000], [0.3357, 0.1643, 0.5000], [0.6643, 0.8357, 0.5000], [0.8357, 0.3357, 0.5000]]}

{"formula": "Th2Ga4CuPd3", "functional": "GGA-PBE", "state": "relaxed", "energy_ev_per_atom": -5.35, "formation_enthalpy_0k_mev_per_atom": -686, "m_tot_mub_per_fu": 0.0, "dos_ef_per_ev_cell": 7.6, "lattice_angstrom": [[4.3256, 0.0000, 0.0000], [0.0000, 4.3256, 0.0000], [0.0000, 0.0000, 10.2461]], "species": ["Th", "Th", "Ga", "Ga", "Ga", "Ga", "Cu", "Pd", "Pd", "Pd"], "frac_coords": [[0.0000, 0.5000, 0.2460], [0.5000, 0.0000, 0.7540], [0.0000, 0.0000, 0.5000], [0.0000, 0.5000, 0.8746], [0.5000, 0.0000, 0.1254], [0.5000, 0.5000, 0.5000], [0.5000, 0.5000, 0.0000], [0.0000, 0.0000, 0.0000], [0.0000, 0.5000, 0.6333], [0.5000, 0.0000, 0.3667]]}

{"formula": "Y2Al5Ag4", "functional": "GGA-PBE", "state": "relaxed", "energy_ev_per_atom": -4.19, "formation_enthalpy_0k_mev_per_atom": -276, "m_tot_mub_per_fu": 0.0, "dos_ef_per_ev_cell": 4.5, "lattice_angstrom": [[0.0000, 4.6084, 8.8649], [2.7260, 0.0000, 8.8649], [2.7260, 4.6084, 0.0000]], "species": ["Y", "Y", "Al", "Al", "Al", "Al", "Al", "Ag", "Ag", "Ag", "Ag"], "frac_coords": [[0.1035, 0.1035, 0.8965], [0.8965, 0.8965, 0.1035], [0.0000, 0.0000, 0.5000], [0.2500, 0.2500, 0.2500], [0.5000, 0.5000, 0.0000], [0.5000, 0.5000, 0.5000], [0.7500, 0.7500, 0.7500], [0.2058, 0.5318, 0.4682], [0.4682, 0.7942, 0.2058], [0.5318, 0.2058, 0.7942], [0.7942, 0.4682, 0.5318]]}

{"formula": "Th4Sb2C", "functional": "GGA-PBE", "state": "relaxed", "energy_ev_per_atom": -7.25, "raw_formation_energy_kj_per_mol_atoms": -49.52, "m_tot_mub_per_fu": 0.0, "de_polymorph_mev_per_atom": 31, "dos_ef_per_ev_cell": 14.4, "lattice_angstrom": [[7.4863, 0.0000, 0.0000], [0.0000, 6.6846, 0.0000], [-2.3008, 0.0000, 8.0935]], "species": ["Th", "Th", "Th", "Th", "Th", "Th", "Th", "Th", "Sb", "Sb", "Sb", "Sb", "C", "C"], "frac_coords": [[0.0042, 0.0132, 0.2565], [0.0042, 0.4868, 0.2565], [0.3768, 0.2500, 0.0819], [0.3870, 0.2500, 0.6114], [0.6130, 0.7500, 0.3886], [0.6232, 0.7500, 0.9181], [0.9958, 0.5132, 0.7435], [0.9958, 0.9868, 0.7435], [0.2611, 0.7500, 0.0649], [0.2767, 0.7500, 0.5673], [0.7233, 0.2500, 0.4327], [0.7389, 0.2500, 0.9351], [0.2079, 0.2500, 0.8033], [0.7921, 0.7500, 0.1967]]}

{"formula": "CeTmZnAg", "functional": "GGA-PBE", "state": "relaxed", "energy_ev_per_atom": -3.83, "formation_enthalpy_0k_mev_per_atom": -201, "m_tot_mub_per_fu": 0.9, "de_polymorph_mev_per_atom": 30, "dos_ef_per_ev_cell": 8.4, "lattice_angstrom": [[0.0000, 3.6314, 3.6314], [3.6314, 0.0000, 3.6314], [3.6314, 3.6314, 0.0000]], "species": ["Ce", "Tm", "Zn", "Ag"], "frac_coords": [[0.0000, 0.0000, 0.0000], [0.5000, 0.5000, 0.5000], [0.2500, 0.2500, 0.2500], [0.7500, 0.7500, 0.7500]]}

{"formula": "Sm2ThOs2", "functional": "GGA-PBE", "state": "relaxed", "energy_ev_per_atom": -8.06, "formation_enthalpy_0k_mev_per_atom": -201, "m_tot_mub_per_fu": 0.0, "dos_ef_per_ev_cell": 4.8, "lattice_angstrom": [[-2.1891, 2.9810, 4.7416], [2.1891, -2.9810, 4.7416], [2.1891, 2.9810, -4.7416]], "species": ["Sm", "Sm", "Th", "Os", "Os"], "frac_coords": [[0.1965, 0.1965, 0.0000], [0.8035, 0.8035, 0.0000], [0.5000, 0.0000, 0.5000], [0.2174, 0.5000, 0.7174], [0.7826, 0.5000, 0.2826]]}

{"formula": "Ac3YPd2O9", "functional": "GGA-PBE", "state": "relaxed", "energy_ev_per_atom": -7.17, "raw_formation_energy_kj_per_mol_atoms": -217.35, "m_tot_mub_per_fu": 0.0, "dos_ef_per_ev_cell": 6.5, "lattice_angstrom": [[5.8738, 0.0000, 0.0000], [-2.9369, 5.0869, 0.0000], [0.0000, 0.0000, 7.4347]], "species": ["Ac", "Ac", "Ac", "Y", "Pd", "Pd", "O", "O", "O", "O", "O", "O", "O", "O", "O"], "frac_coords": [[0.0000, 0.0000, 0.0000], [0.3333, 0.6667, 0.7209], [0.6667, 0.3333, 0.2791], [0.0000, 0.0000, 0.5000], [0.3333, 0.6667, 0.1656], [0.6667, 0.3333, 0.8344], [0.0000, 0.5000, 0.0000], [0.1636, 0.3272, 0.3107], [0.1636, 0.8364, 0.3107], [0.3272, 0.1636, 0.6893], [0.5000, 0.0000, 0.0000], [0.5000, 0.5000, 0.0000], [0.6728, 0.8364, 0.3107], [0.8364, 0.1636, 0.6893], [0.8364, 0.6728, 0.6893]]}

{"formula": "MgCuRuC", "functional": "GGA-PBE", "state": "relaxed", "energy_ev_per_atom": -5.73, "formation_enthalpy_0k_mev_per_atom": 317, "m_tot_mub_per_fu": 0.0, "de_polymorph_mev_per_atom": 94, "dos_ef_per_ev_cell": 1.8, "lattice_angstrom": [[2.7502, -1.7140, 0.0000], [2.7502, 1.7140, 0.0000], [-1.9850, 0.0000, 6.0234]], "species": ["Mg", "Cu", "Ru", "C"], "frac_coords": [[0.0000, 0.0000, 0.0000], [0.4711, 0.4711, 0.3228], [0.2180, 0.2180, 0.6404], [0.8509, 0.8509, 0.5800]]}

{"formula": "NaYBi2S4", "functional": "GGA-PBE", "state": "relaxed", "energy_ev_per_atom": -4.91, "raw_formation_energy_kj_per_mol_atoms": -87.30, "m_tot_mub_per_fu": 0.0, "lattice_angstrom": [[7.3223, 0.0000, 0.0000], [0.0000, 3.9411, 0.0000], [-2.5424, 0.0000, 7.3086]], "species": ["Na", "Y", "Bi", "Bi", "S", "S", "S", "S"], "frac_coords": [[0.0000, 0.0000, 0.0000], [0.5000, 0.5000, 0.5000], [0.0000, 0.0000, 0.5000], [0.5000, 0.5000, 0.0000], [0.1160, 0.5000, 0.2959], [0.4024, 0.0000, 0.7122], [0.5976, 0.0000, 0.2878], [0.8840, 0.5000, 0.7041]]}

{"formula": "La3GaRh", "functional": "GGA-PBE", "state": "relaxed", "energy_ev_per_atom": -5.55, "formation_enthalpy_0k_mev_per_atom": -518, "m_tot_mub_per_fu": 0.0, "de_polymorph_mev_per_atom": 19, "dos_ef_per_ev_cell": 11.7, "lattice_angstrom": [[7.4167, -2.2639, 0.0000], [7.4167, 2.2639, 0.0000], [-5.5161, 0.0000, 8.6395]], "species": ["La", "La", "La", "La", "La", "La", "Ga", "Ga", "Rh", "Rh"], "frac_coords": [[0.0927, 0.0927, 0.4405], [0.3363, 0.3363, 0.1817], [0.3680, 0.3680, 0.8072], [0.6320, 0.6320, 0.1928], [0.6637, 0.6637, 0.8183], [0.9073, 0.9073, 0.5595], [0.0673, 0.0673, 0.9301], [0.9327, 0.9327, 0.0699], [0.2734, 0.2734, 0.4180], [0.7266, 0.7266, 0.5820]]}

{"formula": "CsHoTl2I6", "functional": "GGA-PBE", "state": "relaxed", "energy_ev_per_atom": -3.08, "raw_formation_energy_kj_per_mol_atoms": -109.10, "m_tot_mub_per_fu": 0.0, "dos_ef_per_ev_cell": 0.0, "lattice_angstrom": [[4.3770, 2.5271, 7.7792], [-4.3770, 2.5271, 7.7792], [0.0000, -5.0541, 7.7792]], "species": ["Cs", "Ho", "Tl", "Tl", "I", "I", "I", "I", "I", "I"], "frac_coords": [[0.0000, 0.0000, 0.0000], [0.4851, 0.4851, 0.4851], [0.2918, 0.2918, 0.2918], [0.8085, 0.8085, 0.8085], [0.1146, 0.6601, 0.4363], [0.2627, 0.5675, 0.8400], [0.4363, 0.1146, 0.6601], [0.5675, 0.8400, 0.2627], [0.6601, 0.4363, 0.1146], [0.8400, 0.2627, 0.5675]]}

{"formula": "SrHg3Se", "functional": "GGA-PBE", "state": "relaxed", "energy_ev_per_atom": -0.90, "raw_formation_energy_kj_per_mol_atoms": 30.06, "m_tot_mub_per_fu": 0.4, "de_polymorph_mev_per_atom": 321, "dos_ef_per_ev_cell": 5.5, "lattice_angstrom": [[6.1461, 0.0000, 0.0000], [0.0000, 6.1461, 0.0000], [0.0000, 0.0000, 6.1461]], "species": ["Sr", "Hg", "Hg", "Hg", "Se"], "frac_coords": [[0.0000, 0.0000, 0.0000], [0.0000, 0.0000, 0.5000], [0.0000, 0.5000, 0.0000], [0.5000, 0.0000, 0.0000], [0.5000, 0.5000, 0.5000]]}

{"formula": "LiSb2IBr", "functional": "GGA-PBE", "state": "relaxed", "energy_ev_per_atom": -2.21, "raw_formation_energy_kj_per_mol_atoms": 44.69, "m_tot_mub_per_fu": 1.6, "de_polymorph_mev_per_atom": 275, "dos_ef_per_ev_cell": 4.2, "lattice_angstrom": [[5.4371, 0.0000, 0.0000], [0.0000, 5.4371, 0.0000], [0.0000, 0.0000, 7.6330]], "species": ["Li", "Sb", "Sb", "I", "Br"], "frac_coords": [[0.0000, 0.0000, 0.0000], [0.0000, 0.5000, 0.5000], [0.5000, 0.0000, 0.5000], [0.5000, 0.5000, 0.0000], [0.5000, 0.5000, 0.5000]]}

{"formula": "YMg5Sc2", "functional": "GGA-PBE", "state": "relaxed", "energy_ev_per_atom": -3.45, "formation_enthalpy_0k_mev_per_atom": -58, "m_tot_mub_per_fu": 0.4, "dos_ef_per_ev_cell": 6.2, "lattice_angstrom": [[-2.5632, 2.5632, 7.3005], [2.5632, -2.5632, 7.3005], [2.5632, 2.5632, -7.3005]], "species": ["Y", "Mg", "Mg", "Mg", "Mg", "Mg", "Sc", "Sc"], "frac_coords": [[0.0000, 0.0000, 0.0000], [0.1291, 0.6291, 0.5000], [0.3709, 0.8709, 0.5000], [0.5000, 0.5000, 0.0000], [0.6291, 0.1291, 0.5000], [0.8709, 0.3709, 0.5000], [0.2552, 0.2552, 0.0000], [0.7448, 0.7448, 0.0000]]}

{"formula": "Mn5AlGa2", "functional": "GGA-PBE", "state": "relaxed", "energy_ev_per_atom": -7.03, "formation_enthalpy_0k_mev_per_atom": -78, "m_tot_mub_per_fu": 10.0, "dos_ef_per_ev_cell": 6.0, "lattice_angstrom": [[-1.9155, 1.9155, 6.9384], [1.9155, -1.9155, 6.9384], [1.9155, 1.9155, -6.9384]], "species": ["Mn", "Mn", "Mn", "Mn", "Mn", "Al", "Ga", "Ga"], "frac_coords": [[0.0000, 0.0000, 0.0000], [0.1211, 0.6211, 0.5000], [0.3789, 0.8789, 0.5000], [0.6211, 0.1211, 0.5000], [0.8789, 0.3789, 0.5000], [0.5000, 0.5000, 0.0000], [0.2492, 0.2492, 0.0000], [0.7508, 0.7508, 0.0000]]}

{"formula": "LiBi2BPb", "functional": "GGA-PBE", "state": "relaxed", "energy_ev_per_atom": -2.97, "formation_enthalpy_0k_mev_per_atom": 1047, "m_tot_mub_per_fu": 0.0, "dos_ef_per_ev_cell": 2.8, "lattice_angstrom": [[5.1184, 0.0000, 0.0000], [0.0000, 5.1184, 0.0000], [0.0000, 0.0000, 5.1491]], "species": ["Li", "Bi", "Bi", "B", "Pb"], "frac_coords": [[0.0000, 0.0000, 0.0000], [0.0000, 0.5000, 0.0000], [0.5000, 0.0000, 0.0000], [0.5000, 0.5000, 0.5000], [0.0000, 0.0000, 0.5000]]}

{"formula": "KRb3Cu2F9", "functional": "GGA-PBE", "state": "relaxed", "energy_ev_per_atom": -4.14, "raw_formation_energy_kj_per_mol_atoms": -212.98, "m_tot_mub_per_fu": 3.0, "dos_ef_per_ev_cell": 5.4, "lattice_angstrom": [[6.0745, 0.0000, 0.0000], [-3.0373, 5.2607, 0.0000], [0.0000, 0.0000, 7.7157]], "species": ["K", "Rb", "Rb", "Rb", "Cu", "Cu", "F", "F", "F", "F", "F", "F", "F", "F", "F"], "frac_coords": [[0.0000, 0.0000, 0.0000], [0.0000, 0.0000, 0.5000], [0.3333, 0.6667, 0.1754], [0.6667, 0.3333, 0.8246], [0.3333, 0.6667, 0.6476], [0.6667, 0.3333, 0.3524], [0.0000, 0.5000, 0.5000], [0.1831, 0.3662, 0.7921], [0.1831, 0.8169, 0.7921], [0.3662, 0.1831, 0.2079], [0.5000, 0.0000, 0.5000], [0.5000, 0.5000, 0.5000], [0.6338, 0.8169, 0.7921], [0.8169, 0.1831, 0.2079], [0.8169, 0.6338, 0.2079]]}

{"formula": "Sm2YNbN4", "functional": "GGA-PBE", "state": "relaxed", "energy_ev_per_atom": -8.80, "raw_formation_energy_kj_per_mol_atoms": -133.96, "m_tot_mub_per_fu": 0.0, "dos_ef_per_ev_cell": 2.1, "lattice_angstrom": [[5.9102, 0.0000, 0.0000], [0.0000, 3.4065, 0.0000], [-1.9387, 0.0000, 5.6252]], "species": ["Sm", "Sm", "Y", "Nb", "N", "N", "N", "N"], "frac_coords": [[0.0000, 0.0000, 0.0000], [0.5000, 0.5000, 0.0000], [0.0000, 0.5000, 0.5000], [0.5000, 0.0000, 0.5000], [0.2615, 0.0000, 0.7276], [0.2716, 0.5000, 0.2769], [0.7284, 0.5000, 0.7231], [0.7385, 0.0000, 0.2724]]}

{"formula": "CaMnCl", "functional": "GGA-PBE", "state": "relaxed", "energy_ev_per_atom": -4.74, "raw_formation_energy_kj_per_mol_atoms": -38.90, "m_tot_mub_per_fu": 3.9, "dos_ef_per_ev_cell": 1.4, "lattice_angstrom": [[-1.7480, 1.7480, 6.6413], [1.7480, -1.7480, 6.6413], [1.7480, 1.7480, -6.6413]], "species": ["Ca", "Mn", "Cl"], "frac_coords": [[0.0000, 0.0000, 0.0000], [0.6562, 0.6562, 0.0000], [0.3941, 0.3941, 0.0000]]}

{"formula": "Sc2InW", "functional": "GGA-PBE", "state": "relaxed", "energy_ev_per_atom": -6.74, "formation_enthalpy_0k_mev_per_atom": 347, "m_tot_mub_per_fu": 0.0, "dos_ef_per_ev_cell": 4.6, "lattice_angstrom": [[1.5631, 0.9025, 10.6572], [-1.5631, 0.9025, 10.6572], [0.0000, -1.8049, 10.6572]], "species": ["Sc", "Sc", "In", "W"], "frac_coords": [[0.0969, 0.0969, 0.0969], [0.9031, 0.9031, 0.9031], [0.0000, 0.0000, 0.0000], [0.5000, 0.5000, 0.5000]]}